Entry 1:
RhAuBr2 PBE relaxed; space group = P4mm, No. 99; excess energy over the best structure of this formula in the dataset = 0.3304 eV/atom; raw formation energy = 0.356 eV per atom
1.0
3.272 0.000 0.000
0.000 3.272 0.000
0.000 0.000 8.353
Rh Au Br
1 1 2
Direct
0.000 0.000 0.512
0.500 0.500 0.715
0.000 0.000 0.938
0.500 0.500 0.335



Entry 2:
Ti2SiPtPb PBE relaxed; space group = P4/mmm, No. 123; raw formation energy = 0.144 eV per atom
1.0
-3.355 3.343 -1.522
-0.554 -2.290 -3.810
-3.621 -2.665 2.129
Pb Si Pt Ti
1 1 1 2
Direct
0.500 0.500 0.500
0.000 0.500 0.000
0.000 0.000 0.000
0.000 0.000 0.500
0.500 0.000 0.000



Entry 3:
RbCeAg2I6 PBE relaxed; space group = R-3, No. 148; raw formation energy = -0.911 eV per atom
1.0
-1.792 1.141 -7.908
-6.014 -1.157 5.436
2.771 7.930 4.761
Rb Ce Ag I
1 1 2 6
Direct
0.997 0.498 0.480
0.997 0.998 0.980
0.458 0.728 0.173
0.535 0.267 0.787
0.542 0.934 0.758
0.451 0.062 0.202
0.828 0.764 0.202
0.154 0.388 0.202
0.840 0.608 0.759
0.165 0.231 0.759



Entry 4:
NdSm2YTh PBE relaxed; space group = Pmma, No. 51; energy of formation from the pure elements = 0.2963 eV/atom
1.0
6.743 0.000 0.000
0.000 8.045 1.449
0.000 -1.131 6.274
Nd Sm Y Th
2 4 2 2
Direct
0.177 0.500 0.750
0.823 0.500 0.250
0.706 0.700 0.750
0.706 0.300 0.750
0.294 0.700 0.250
0.294 0.300 0.250
0.000 0.000 0.000
0.000 0.000 0.500
0.574 0.000 0.250
0.426 0.000 0.750



Q: Which Fermi-level density of states values were calculated for the entries above? A: 4.24, 5.24, 8.17, 13.37, in states/eV/cell.